1.
An optimized crystal structure of Bi2HPt, computed with PBE.

## Properties
The density of states at the Fermi level is 2.115 states/eV/f.u. The value obtained for the energy above the most stable polymorph in this dataset is 70 meV/atom. Its space-group type is I-42d.

Cell: 5.9928 5.9928 5.9928 Å, 110.26 110.26 107.90°
With the nearest neighbours (Å) after each atom.
Element x y z (fractional)
Bi  0.0769  0.1250  0.4519  2 H 2.37
Bi  0.3750  0.9231  0.0481  2 H 2.37
Bi  0.6731  0.6250  0.5481  2 H 2.37
Bi  0.8750  0.3269  0.9519  2 H 2.37
H  0.0000  0.0000  0.0000  4 Bi 2.37
H  0.7500  0.2500  0.5000  4 Bi 2.37
Pt  0.2500  0.7500  0.5000  4 Bi 2.81
Pt  0.5000  0.5000  0.0000  4 Bi 2.81


2.
An optimized crystal structure of BiH2Pt2, computed with PBE.

## Properties
The density of states at the Fermi level is 1.734 states/eV/f.u. The value obtained for the energy above the most stable polymorph in this dataset is 200 meV/atom. Its space-group type is P4/mbm.

Cell: 7.1075 7.1075 3.3090 Å, 90.00 90.00 90.00°
With the nearest neighbours (Å) after each atom.
Element x y z (fractional)
Bi  0.0000  0.0000  0.0000  4 Pt 2.76
Bi  0.5000  0.5000  0.0000  4 Pt 2.76
H  0.1024  0.3976  0.5000  2 Pt 1.69
H  0.3976  0.8976  0.5000  2 Pt 1.69
H  0.6024  0.1024  0.5000  2 Pt 1.69
H  0.8976  0.6024  0.5000  2 Pt 1.69
Pt  0.1363  0.3637  0.0000  2 H 1.69
Pt  0.3637  0.8637  0.0000  2 H 1.69
Pt  0.6363  0.1363  0.0000  2 H 1.69
Pt  0.8637  0.6363  0.0000  2 H 1.69


3.
An optimized crystal structure of BiH3Pt3, computed with PBE.

## Properties
The density of states at the Fermi level is 2.316 states/eV/f.u. Its space-group type is R-3. The total energy comes out at -64.93 eV for the cell shown.

Cell: 5.9259 5.9259 5.9259 Å, 71.18 71.18 71.18°
With the nearest neighbours (Å) after each atom.
Element x y z (fractional)
Bi  0.1699  0.1699  0.1699  9 H 2.85-3.12, 6 Pt 2.90-2.93
Bi  0.8301  0.8301  0.8301  9 H 2.85-3.12, 6 Pt 2.90-2.93
H  0.1080  0.6556  0.2039  2 Pt 1.72-1.75
H  0.2039  0.1080  0.6556  2 Pt 1.72-1.75
H  0.3444  0.7961  0.8920  2 Pt 1.72-1.75
H  0.6556  0.2039  0.1080  2 Pt 1.72-1.75
H  0.7961  0.8920  0.3444  2 Pt 1.72-1.75
H  0.8920  0.3444  0.7961  2 Pt 1.72-1.75
Pt  0.1733  0.4129  0.6540  2 H 1.72-1.75
Pt  0.3460  0.8267  0.5871  2 H 1.72-1.75
Pt  0.4129  0.6540  0.1733  2 H 1.72-1.75
Pt  0.5871  0.3460  0.8267  2 H 1.72-1.75
Pt  0.6540  0.1733  0.4129  2 H 1.72-1.75
Pt  0.8267  0.5871  0.3460  2 H 1.72-1.75


4.
An optimized crystal structure of Bi2HPt6, computed with PBE.

## Properties
The density of states at the Fermi level is 4.756 states/eV/f.u. Its space-group type is C2/m. The total energy comes out at -47.78 eV for the cell shown.

Cell: 5.3699 5.3699 5.5926 Å, 91.69 91.69 76.92°
With the nearest neighbours (Å) after each atom.
Element x y z (fractional)
Bi  0.1777  0.1777  0.3604  1 H 2.79, 7 Pt 2.85-3.06
Bi  0.8223  0.8223  0.6396  1 H 2.79, 7 Pt 2.85-3.06
H  0.5000  0.5000  0.5000  2 Pt 1.78
Pt  0.0804  0.6723  0.1596  6 Pt 2.70-2.92, 1 Bi 2.85, 1 H 2.91
Pt  0.3277  0.9196  0.8404  6 Pt 2.70-2.92, 1 Bi 2.85, 1 H 2.91
Pt  0.4066  0.4066  0.7796  1 H 1.78
Pt  0.5934  0.5934  0.2204  1 H 1.78
Pt  0.6723  0.0804  0.1596  6 Pt 2.70-2.92, 1 Bi 2.85, 1 H 2.91
Pt  0.9196  0.3277  0.8404  6 Pt 2.70-2.92, 1 Bi 2.85, 1 H 2.91


5.
An optimized crystal structure of BiH6Pt4, computed with PBE.

## Properties
The density of states at the Fermi level is 0.870 states/eV/f.u. Its space-group type is Cm. The total energy comes out at -47.83 eV for the cell shown.

Cell: 6.0510 6.0510 3.6987 Å, 107.78 107.78 73.61°
With the nearest neighbours (Å) after each atom.
Element x y z (fractional)
Bi  0.0000  0.0000  0.0000  2 H 2.52-2.53, 3 Pt 2.79-2.82
H  0.0526  0.5262  0.2922  3 Pt 1.87-1.92
H  0.1925  0.1925  0.6902  2 Pt 1.77
H  0.4552  0.8051  0.6340  2 Pt 1.74-1.81
H  0.5262  0.0526  0.2922  3 Pt 1.87-1.92
H  0.5362  0.5362  0.0377  3 Pt 1.88-2.02
H  0.8051  0.4552  0.6340  2 Pt 1.74-1.81
Pt  0.1040  0.5057  0.8087  4 H 1.77-1.88
Pt  0.4965  0.4965  0.4993  4 H 1.74-1.89
Pt  0.5057  0.1040  0.8087  4 H 1.77-1.88
Pt  0.7612  0.7612  0.2638  3 H 1.92-2.02


6.
An optimized crystal structure of BiH2Pt2, computed with PBE.

## Properties
The density of states at the Fermi level is 1.256 states/eV/f.u. The value obtained for the energy above the most stable polymorph in this dataset is 0 meV/atom. Its space-group type is P-1.

Cell: 4.7105 5.7347 6.1086 Å, 64.18 76.98 75.90°
With the nearest neighbours (Å) after each atom.
Element x y z (fractional)
Bi  0.2319  0.3607  0.2624  2 H 2.76-3.02, 5 Pt 2.89-3.05
Bi  0.7681  0.6393  0.7376  2 H 2.76-3.02, 5 Pt 2.89-3.05
H  0.1954  0.8923  0.1231  3 Pt 1.84-1.90
H  0.3600  0.1769  0.7797  2 Pt 1.72-1.76
H  0.6400  0.8231  0.2203  2 Pt 1.72-1.76
H  0.8046  0.1077  0.8769  3 Pt 1.84-1.90
Pt  0.1844  0.9240  0.8121  3 H 1.76-1.90
Pt  0.3233  0.7550  0.4258  2 H 1.72-1.85
Pt  0.6767  0.2450  0.5742  2 H 1.72-1.85
Pt  0.8156  0.0760  0.1879  3 H 1.76-1.90


7.
An optimized crystal structure of BiH2Pt2, computed with PBE.

## Properties
The density of states at the Fermi level is 1.067 states/eV/f.u. The value obtained for the energy above the most stable polymorph in this dataset is 120 meV/atom. Its space-group type is I4/mmm.

Cell: 5.3632 5.3632 5.3632 Å, 139.25 139.25 58.99°
With the nearest neighbours (Å) after each atom.
Element x y z (fractional)
Bi  0.0000  0.0000  0.0000  8 H 2.99, 10 Pt 3.08
H  0.2500  0.7500  0.5000  4 Pt 2.01
H  0.7500  0.2500  0.5000  4 Pt 2.01
Pt  0.3299  0.3299  0.0000  4 H 2.01
Pt  0.6701  0.6701  0.0000  4 H 2.01


8.
An optimized crystal structure of BiH3Pt, computed with PBE.

## Properties
The density of states at the Fermi level is 1.939 states/eV/f.u. The value obtained for the energy above the most stable polymorph in this dataset is 267 meV/atom. Its space-group type is Pm-3m.

Cell: 3.8153 3.8153 3.8153 Å, 90.00 90.00 90.00°
With the nearest neighbours (Å) after each atom.
Element x y z (fractional)
Bi  0.0000  0.0000  0.0000  12 H 2.70
H  0.0000  0.5000  0.5000  2 Pt 1.91
H  0.5000  0.0000  0.5000  2 Pt 1.91
H  0.5000  0.5000  0.0000  2 Pt 1.91
Pt  0.5000  0.5000  0.5000  6 H 1.91


9.
An optimized crystal structure of BiHPt, computed with PBE.

## Properties
The density of states at the Fermi level is 0.769 states/eV/f.u. The value obtained for the energy above the most stable polymorph in this dataset is 0 meV/atom. Its space-group type is Fmmm.

Cell: 7.0184 6.9900 4.0580 Å, 73.55 72.78 33.68°
With the nearest neighbours (Å) after each atom.
Element x y z (fractional)
Bi  0.1653  0.1653  0.8347  5 Pt 2.83-2.98, 2 H 2.84
Bi  0.8347  0.8347  0.1653  5 Pt 2.83-2.98, 2 H 2.84
H  0.3277  0.6723  0.3277  2 Pt 1.76
H  0.6723  0.3277  0.6723  2 Pt 1.76
Pt  0.3866  0.3866  0.6134  2 H 1.76
Pt  0.6134  0.6134  0.3866  2 H 1.76


10.
An optimized crystal structure of BiHPtRh2, computed with PBE.

## Properties
The density of states at the Fermi level is 2.989 states/eV/f.u. Its space-group type is P4/mmm. The total energy comes out at -28.17 eV for the cell shown.

Cell: 4.2137 4.2137 3.9701 Å, 90.00 90.00 90.00°
With the nearest neighbours (Å) after each atom.
Element x y z (fractional)
Bi  0.0000  0.0000  0.0000  8 Rh 2.89, 4 Pt 2.98
H  0.5000  0.5000  0.5000  2 Pt 1.99, 4 Rh 2.11
Pt  0.5000  0.5000  0.0000  2 H 1.99
Rh  0.0000  0.5000  0.5000  2 H 2.11
Rh  0.5000  0.0000  0.5000  2 H 2.11


11.
An optimized crystal structure of BiH6PtRh2, computed with PBE.

## Properties
The density of states at the Fermi level is 2.671 states/eV/f.u. Its space-group type is C2/c. The total energy comes out at -89.66 eV for the cell shown.

Cell: 6.5948 6.5948 5.0579 Å, 100.87 100.87 87.55°
With the nearest neighbours (Å) after each atom.
Element x y z (fractional)
Bi  0.1218  0.8782  0.7500  4 Rh 2.80-2.89, 4 H 2.93-3.10, 2 Pt 2.96
Bi  0.8782  0.1218  0.2500  4 Rh 2.80-2.89, 4 H 2.93-3.10, 2 Pt 2.96
H  0.0738  0.5427  0.2245  1 Pt 1.81, 2 Rh 1.83-1.92
H  0.2042  0.3379  0.6697  2 Rh 1.69-1.79
H  0.3379  0.2042  0.1697  2 Rh 1.69-1.79
H  0.3484  0.4688  0.0632  1 Rh 1.72, 1 Pt 1.75, 1 H 1.93
H  0.4573  0.9262  0.2755  1 Pt 1.81, 2 Rh 1.83-1.92
H  0.4688  0.3484  0.5632  1 Rh 1.72, 1 Pt 1.75, 1 H 1.93
H  0.5312  0.6516  0.4368  1 Rh 1.72, 1 Pt 1.75, 1 H 1.93
H  0.5427  0.0738  0.7245  1 Pt 1.81, 2 Rh 1.83-1.92
H  0.6516  0.5312  0.9368  1 Rh 1.72, 1 Pt 1.75, 1 H 1.93
H  0.6620  0.7958  0.8303  2 Rh 1.69-1.79
H  0.7958  0.6620  0.3303  2 Rh 1.69-1.79
H  0.9262  0.4573  0.7755  1 Pt 1.81, 2 Rh 1.83-1.92
Pt  0.2913  0.7087  0.2500  4 H 1.75-1.81
Pt  0.7087  0.2913  0.7500  4 H 1.75-1.81
Rh  0.1344  0.3124  0.9880  4 H 1.69-1.83
Rh  0.3124  0.1344  0.4880  4 H 1.69-1.83
Rh  0.6876  0.8656  0.5120  4 H 1.69-1.83
Rh  0.8656  0.6876  0.0120  4 H 1.69-1.83


12.
An optimized crystal structure of BiH2RuPt, computed with PBE.

## Properties
The density of states at the Fermi level is 3.067 states/eV/f.u. Its space-group type is P4/mmm. The total energy comes out at -23.72 eV for the cell shown.

Cell: 3.6828 3.6828 5.4700 Å, 90.00 90.00 90.00°
With the nearest neighbours (Å) after each atom.
Element x y z (fractional)
Bi  0.0000  0.0000  0.0000  4 Ru 2.60
H  0.0000  0.5000  0.5000  2 Pt 1.84
H  0.5000  0.0000  0.5000  2 Pt 1.84
Ru  0.5000  0.5000  0.0000  4 Bi 2.60, 2 Pt 2.74
Pt  0.5000  0.5000  0.5000  4 H 1.84